# 1
{
  "formula": "Cs4NaF",
  "functional": "PBE",
  "state": "relaxed",
  "lattice_angstrom": [[-5.334, -0.771, -7.963], [-6.059, -9.912, 5.018], [-10.254, 9.289, 5.969]],
  "species": ["Cs", "Cs", "Cs", "Cs", "Cs", "Cs", "Cs", "Cs", "Cs", "Cs", "Cs", "Cs", "Cs", "Cs", "Cs", "Cs", "Na", "Na", "Na", "Na", "F", "F", "F", "F"],
  "fractional_positions": [[0.250, 0.921, 0.396], [0.750, 0.079, 0.604], [0.487, 0.818, 0.068], [0.250, 0.551, 0.210], [0.750, 0.421, 0.104], [0.013, 0.818, 0.068], [0.250, 0.579, 0.896], [0.987, 0.318, 0.432], [0.987, 0.182, 0.932], [0.750, 0.051, 0.290], [0.013, 0.682, 0.568], [0.750, 0.449, 0.790], [0.513, 0.182, 0.932], [0.250, 0.949, 0.710], [0.487, 0.682, 0.568], [0.513, 0.318, 0.432], [0.250, 0.178, 0.185], [0.750, 0.822, 0.815], [0.250, 0.322, 0.685], [0.750, 0.678, 0.315], [0.750, 0.313, 0.939], [0.250, 0.813, 0.561], [0.750, 0.187, 0.439], [0.250, 0.687, 0.061]],
  "spacegroup": "Pnma (62)",
  "n_ef_per_ev_atom": 0.644,
  "final_energy_ev_per_atom": -1.956,
  "raw_formation_energy_ev_per_atom": -0.8548,
  "magmom_total_mub_per_fu": 0.00
}


# 2
{
  "formula": "CsNaF",
  "functional": "PBE",
  "state": "relaxed",
  "lattice_angstrom": [[-3.244, -6.007, -2.796], [2.812, -2.434, 1.967], [-7.185, 2.652, 13.551]],
  "species": ["Cs", "Cs", "Cs", "Cs", "Na", "Na", "Na", "Na", "F", "F", "F", "F"],
  "fractional_positions": [[0.001, 0.000, 0.864], [0.001, 0.500, 0.364], [0.650, 0.000, 0.017], [0.650, 0.500, 0.517], [0.229, 0.000, 0.656], [0.229, 0.500, 0.156], [0.479, 0.000, 0.303], [0.479, 0.500, 0.803], [0.363, 0.000, 0.814], [0.363, 0.500, 0.314], [0.752, 0.000, 0.405], [0.752, 0.500, 0.905]],
  "spacegroup": "Cm (8)",
  "de_polymorph_ev_per_atom": 0.000,
  "n_ef_per_ev_atom": 0.341,
  "final_energy_ev_per_atom": -3.043,
  "raw_formation_energy_ev_per_atom": -1.6953,
  "magmom_total_mub_per_fu": 0.00
}


# 3
{
  "formula": "Cs2NaF3",
  "functional": "PBE",
  "state": "relaxed",
  "lattice_angstrom": [[3.814, 0.000, 0.000], [0.000, 7.050, 0.000], [-1.907, 0.000, 10.331]],
  "species": ["Cs", "Cs", "Cs", "Cs", "Na", "Na", "F", "F", "F", "F", "F", "F"],
  "fractional_positions": [[0.172, 0.750, 0.344], [0.828, 0.250, 0.656], [0.988, 0.750, 0.977], [0.012, 0.250, 0.023], [0.343, 0.750, 0.686], [0.657, 0.250, 0.314], [0.412, 0.503, 0.825], [0.588, 0.497, 0.175], [0.412, 0.997, 0.825], [0.588, 0.003, 0.175], [0.786, 0.750, 0.572], [0.214, 0.250, 0.428]],
  "spacegroup": "Cmcm (63)",
  "de_polymorph_ev_per_atom": 0.036,
  "n_ef_per_ev_atom": 0.000,
  "final_energy_ev_per_atom": -4.041,
  "raw_formation_energy_ev_per_atom": -2.6011,
  "magmom_total_mub_per_fu": 0.21
}